# Ag2Pb3Cl8 PBE-GGA optimized geometry
# Total energy: -3.36 eV/atom
data_Ag2Pb3Cl8
_symmetry_space_group_name_H-M 'C 1 2/m 1'
_symmetry_Int_Tables_number 12
_cell_length_a 13.0759
_cell_length_b 8.8037
_cell_length_c 7.5512
_cell_angle_alpha 90.00
_cell_angle_beta 112.57
_cell_angle_gamma 90.00
loop_
_symmetry_equiv_pos_as_xyz
'x,y,z'
'-x,-y,-z'
'-x,y,-z'
'x,-y,z'
'x+1/2,y+1/2,z'
'-x+1/2,-y+1/2,-z'
'-x+1/2,y+1/2,-z'
'x+1/2,-y+1/2,z'
loop_
_atom_site_label
_atom_site_type_symbol
_atom_site_fract_x
_atom_site_fract_y
_atom_site_fract_z
Ag1 Ag 0.1298 0.0000 0.0918
Pb1 Pb 0.0000 0.2427 0.5000
Pb2 Pb 0.0000 0.5000 0.0000
Cl1 Cl 0.1244 0.0000 0.7447
Cl2 Cl 0.1237 0.2545 0.2509
Cl3 Cl 0.1272 0.5000 0.7507

=====

# Ag4PbCl8 PBE-GGA optimized geometry
# Total energy: -2.84 eV/atom
data_Ag4PbCl8
_symmetry_space_group_name_H-M 'P -1'
_symmetry_Int_Tables_number 2
_cell_length_a 7.5473
_cell_length_b 7.9569
_cell_length_c 8.2185
_cell_angle_alpha 118.44
_cell_angle_beta 117.32
_cell_angle_gamma 90.05
loop_
_symmetry_equiv_pos_as_xyz
'x,y,z'
'-x,-y,-z'
loop_
_atom_site_label
_atom_site_type_symbol
_atom_site_fract_x
_atom_site_fract_y
_atom_site_fract_z
Ag1 Ag 0.0000 0.0000 0.0000
Ag2 Ag 0.0000 0.0000 0.5000
Ag3 Ag 0.5000 0.0000 0.0000
Ag4 Ag 0.5000 0.0000 0.5000
Pb1 Pb 0.0000 0.5000 0.0000
Cl1 Cl 0.2404 0.7609 0.4774
Cl2 Cl 0.2470 0.7712 0.9939
Cl3 Cl 0.2476 0.2041 0.4940
Cl4 Cl 0.2522 0.2280 0.0034

=====

# AgPbCl PBE-GGA optimized geometry
# Polymorph energy (0 for the lowest one): 28.7 meV per atom
data_AgPbCl
_symmetry_space_group_name_H-M 'I 4 m m'
_symmetry_Int_Tables_number 107
_symmetry_space_group_name_Hall 'I 4 -2'
_cell_length_a 3.5268
_cell_length_b 3.5268
_cell_length_c 11.7452
_cell_angle_alpha 90.00
_cell_angle_beta 90.00
_cell_angle_gamma 90.00
loop_
_atom_site_label
_atom_site_type_symbol
_atom_site_fract_x
_atom_site_fract_y
_atom_site_fract_z
Ag1 Ag 0.0000 0.0000 0.0000
Pb1 Pb 0.0000 0.0000 0.6587
Cl1 Cl 0.0000 0.0000 0.3643

=====

# AgPb3Cl PBE-GGA optimized geometry
# Polymorph energy (0 for the lowest one): 174.7 meV per atom
data_AgPb3Cl
_symmetry_space_group_name_H-M 'P m -3 m'
_symmetry_Int_Tables_number 221
_symmetry_space_group_name_Hall '-P 4 2 3'
_cell_length_a 5.5253
_cell_length_b 5.5253
_cell_length_c 5.5253
_cell_angle_alpha 90.00
_cell_angle_beta 90.00
_cell_angle_gamma 90.00
loop_
_atom_site_label
_atom_site_type_symbol
_atom_site_fract_x
_atom_site_fract_y
_atom_site_fract_z
Ag1 Ag 0.0000 0.0000 0.0000
Pb1 Pb 0.0000 0.5000 0.5000
Cl1 Cl 0.5000 0.5000 0.5000

=====

# AgPbCl4 PBE-GGA optimized geometry
# Polymorph energy (0 for the lowest one): 28.8 meV per atom
data_AgPbCl4
_symmetry_space_group_name_H-M 'I -4'
_symmetry_Int_Tables_number 82
_cell_length_a 6.9784
_cell_length_b 6.9784
_cell_length_c 7.2537
_cell_angle_alpha 90.00
_cell_angle_beta 90.00
_cell_angle_gamma 90.00
loop_
_symmetry_equiv_pos_as_xyz
'x,y,z'
'y,-x,-z'
'-x,-y,z'
'-y,x,-z'
'x+1/2,y+1/2,z+1/2'
'y+1/2,-x+1/2,-z+1/2'
'-x+1/2,-y+1/2,z+1/2'
'-y+1/2,x+1/2,-z+1/2'
loop_
_atom_site_label
_atom_site_type_symbol
_atom_site_fract_x
_atom_site_fract_y
_atom_site_fract_z
Ag1 Ag 0.0000 0.0000 0.0000
Pb1 Pb 0.0000 0.5000 0.2500
Cl1 Cl 0.2472 0.2501 0.9996

=====

# AgPbCl4 PBE-GGA optimized geometry
# Polymorph energy (0 for the lowest one): 918.0 meV per atom
data_AgPbCl4
_symmetry_space_group_name_H-M 'F -4 3 m'
_symmetry_Int_Tables_number 216
_symmetry_space_group_name_Hall 'F -4 2 3'
_cell_length_a 8.4682
_cell_length_b 8.4682
_cell_length_c 8.4682
_cell_angle_alpha 90.00
_cell_angle_beta 90.00
_cell_angle_gamma 90.00
loop_
_atom_site_label
_atom_site_type_symbol
_atom_site_fract_x
_atom_site_fract_y
_atom_site_fract_z
Ag1 Ag 0.0000 0.0000 0.0000
Pb1 Pb 0.2500 0.2500 0.2500
Cl1 Cl 0.1258 0.1258 0.6258

=====

# AgPbCl3 PBE-GGA optimized geometry
# Total energy: -3.26 eV/atom
data_AgPbCl3
_symmetry_space_group_name_H-M 'P 1 21/c 1'
_symmetry_Int_Tables_number 14
_cell_length_a 7.3180
_cell_length_b 7.5589
_cell_length_c 11.3318
_cell_angle_alpha 90.00
_cell_angle_beta 116.56
_cell_angle_gamma 90.00
loop_
_symmetry_equiv_pos_as_xyz
'x,y,z'
'-x,-y,-z'
'-x,y+1/2,-z+1/2'
'x,-y+1/2,z+1/2'
loop_
_atom_site_label
_atom_site_type_symbol
_atom_site_fract_x
_atom_site_fract_y
_atom_site_fract_z
Ag1 Ag 0.0591 0.1526 0.0937
Pb1 Pb 0.3402 0.6328 0.2897
Cl1 Cl 0.0228 0.5984 0.7350
Cl2 Cl 0.3168 0.1352 0.5873
Cl3 Cl 0.3521 0.6492 0.5597

=====

# Ag2PbCl PBE-GGA optimized geometry
# Polymorph energy (0 for the lowest one): 106.8 meV per atom
data_Ag2PbCl
_symmetry_space_group_name_H-M 'P m m m'
_symmetry_Int_Tables_number 47
_cell_length_a 3.3295
_cell_length_b 5.0115
_cell_length_c 5.5089
_cell_angle_alpha 90.00
_cell_angle_beta 90.00
_cell_angle_gamma 90.00
loop_
_symmetry_equiv_pos_as_xyz
'x,y,z'
'-x,-y,-z'
'-x,-y,z'
'x,y,-z'
'x,-y,-z'
'-x,y,z'
'-x,y,-z'
'x,-y,z'
loop_
_atom_site_label
_atom_site_type_symbol
_atom_site_fract_x
_atom_site_fract_y
_atom_site_fract_z
Ag1 Ag 0.0000 0.0000 0.0000
Ag2 Ag 0.5000 0.5000 0.0000
Pb1 Pb 0.0000 0.5000 0.5000
Cl1 Cl 0.5000 0.0000 0.5000

=====

# Ag2PbCl PBE-GGA optimized geometry
# Polymorph energy (0 for the lowest one): 124.8 meV per atom
data_Ag2PbCl
_symmetry_space_group_name_H-M 'C 1 m 1'
_symmetry_Int_Tables_number 8
_cell_length_a 10.8537
_cell_length_b 3.3200
_cell_length_c 5.3861
_cell_angle_alpha 90.00
_cell_angle_beta 105.81
_cell_angle_gamma 90.00
loop_
_symmetry_equiv_pos_as_xyz
'x,y,z'
'x,-y,z'
'x+1/2,y+1/2,z'
'x+1/2,-y+1/2,z'
loop_
_atom_site_label
_atom_site_type_symbol
_atom_site_fract_x
_atom_site_fract_y
_atom_site_fract_z
Ag1 Ag 0.0000 0.0000 0.0000
Ag2 Ag 0.2255 0.5000 0.0411
Pb1 Pb 0.0060 0.5000 0.4864
Cl1 Cl 0.2580 0.0000 0.5672

=====

# Ag4PbCl PBE-GGA optimized geometry
# Total energy: -2.77 eV/atom
data_Ag4PbCl
_symmetry_space_group_name_H-M 'F -4 3 m'
_symmetry_Int_Tables_number 216
_symmetry_space_group_name_Hall 'F -4 2 3'
_cell_length_a 8.0284
_cell_length_b 8.0284
_cell_length_c 8.0284
_cell_angle_alpha 90.00
_cell_angle_beta 90.00
_cell_angle_gamma 90.00
loop_
_atom_site_label
_atom_site_type_symbol
_atom_site_fract_x
_atom_site_fract_y
_atom_site_fract_z
Ag1 Ag 0.1249 0.1249 0.1249
Pb1 Pb 0.0000 0.0000 0.5000
Cl1 Cl 0.2500 0.2500 0.7500

=====

# Ag2PbCl5 PBE-GGA optimized geometry
# Total energy: -2.87 eV/atom
data_Ag2PbCl5
_symmetry_space_group_name_H-M 'C 1 2/m 1'
_symmetry_Int_Tables_number 12
_cell_length_a 5.9102
_cell_length_b 12.8625
_cell_length_c 6.5281
_cell_angle_alpha 90.00
_cell_angle_beta 111.09
_cell_angle_gamma 90.00
loop_
_symmetry_equiv_pos_as_xyz
'x,y,z'
'-x,-y,-z'
'-x,y,-z'
'x,-y,z'
'x+1/2,y+1/2,z'
'-x+1/2,-y+1/2,-z'
'-x+1/2,y+1/2,-z'
'x+1/2,-y+1/2,z'
loop_
_atom_site_label
_atom_site_type_symbol
_atom_site_fract_x
_atom_site_fract_y
_atom_site_fract_z
Ag1 Ag 0.0000 0.2026 0.0000
Pb1 Pb 0.0000 0.5000 0.0000
Cl1 Cl 0.0000 0.0000 0.0000
Cl2 Cl 0.1679 0.3451 0.2952

=====

# AgPbCl PBE-GGA optimized geometry
# Polymorph energy (0 for the lowest one): 24.8 meV per atom
data_AgPbCl
_symmetry_space_group_name_H-M 'F m m 2'
_symmetry_Int_Tables_number 42
_symmetry_space_group_name_Hall 'F 2 -2'
_cell_length_a 4.4196
_cell_length_b 5.4727
_cell_length_c 12.2329
_cell_angle_alpha 90.00
_cell_angle_beta 90.00
_cell_angle_gamma 90.00
loop_
_atom_site_label
_atom_site_type_symbol
_atom_site_fract_x
_atom_site_fract_y
_atom_site_fract_z
Ag1 Ag 0.0000 0.0000 0.0000
Pb1 Pb 0.0000 0.0000 0.3343
Cl1 Cl 0.0000 0.0000 0.6336

=====

# Ag2PbCl PBE-GGA optimized geometry
# Polymorph energy (0 for the lowest one): 73.3 meV per atom
data_Ag2PbCl
_symmetry_space_group_name_H-M 'R 3 m'
_symmetry_Int_Tables_number 160
_symmetry_space_group_name_Hall 'R 3 -2"'
_cell_length_a 3.5137
_cell_length_b 3.5137
_cell_length_c 26.0248
_cell_angle_alpha 90.00
_cell_angle_beta 90.00
_cell_angle_gamma 120.00
loop_
_atom_site_label
_atom_site_type_symbol
_atom_site_fract_x
_atom_site_fract_y
_atom_site_fract_z
Ag1 Ag 0.0000 0.0000 0.0000
Ag2 Ag 0.0000 0.0000 0.2582
Pb1 Pb 0.0000 0.0000 0.5016
Cl1 Cl 0.0000 0.0000 0.7369

=====

# Ag3PbCl PBE-GGA optimized geometry
# Polymorph energy (0 for the lowest one): 0.0 meV per atom
data_Ag3PbCl
_symmetry_space_group_name_H-M 'P m -3 m'
_symmetry_Int_Tables_number 221
_symmetry_space_group_name_Hall '-P 4 2 3'
_cell_length_a 5.0776
_cell_length_b 5.0776
_cell_length_c 5.0776
_cell_angle_alpha 90.00
_cell_angle_beta 90.00
_cell_angle_gamma 90.00
loop_
_atom_site_label
_atom_site_type_symbol
_atom_site_fract_x
_atom_site_fract_y
_atom_site_fract_z
Ag1 Ag 0.0000 0.0000 0.5000
Pb1 Pb 0.5000 0.5000 0.5000
Cl1 Cl 0.0000 0.0000 0.0000

=====

# Ag2PbCl PBE-GGA optimized geometry
# Polymorph energy (0 for the lowest one): 70.6 meV per atom
data_Ag2PbCl
_symmetry_space_group_name_H-M 'R -3 m'
_symmetry_Int_Tables_number 166
_symmetry_space_group_name_Hall '-R 3 2"'
_cell_length_a 3.6038
_cell_length_b 3.6038
_cell_length_c 24.5186
_cell_angle_alpha 90.00
_cell_angle_beta 90.00
_cell_angle_gamma 120.00
loop_
_atom_site_label
_atom_site_type_symbol
_atom_site_fract_x
_atom_site_fract_y
_atom_site_fract_z
Ag1 Ag 0.0000 0.0000 0.2447
Pb1 Pb 0.0000 0.0000 0.0000
Cl1 Cl 0.0000 0.0000 0.5000

=====

# AgPbCl PBE-GGA optimized geometry
# Polymorph energy (0 for the lowest one): 189.1 meV per atom
data_AgPbCl
_symmetry_space_group_name_H-M 'F -4 3 m'
_symmetry_Int_Tables_number 216
_symmetry_space_group_name_Hall 'F -4 2 3'
_cell_length_a 7.1272
_cell_length_b 7.1272
_cell_length_c 7.1272
_cell_angle_alpha 90.00
_cell_angle_beta 90.00
_cell_angle_gamma 90.00
loop_
_atom_site_label
_atom_site_type_symbol
_atom_site_fract_x
_atom_site_fract_y
_atom_site_fract_z
Ag1 Ag 0.0000 0.0000 0.0000
Pb1 Pb 0.2500 0.2500 0.2500
Cl1 Cl 0.0000 0.0000 0.5000

=====

# AgPb2Cl6 PBE-GGA optimized geometry
# Polymorph energy (0 for the lowest one): 58.5 meV per atom
data_AgPb2Cl6
_symmetry_space_group_name_H-M 'C 1 2/m 1'
_symmetry_Int_Tables_number 12
_cell_length_a 13.3869
_cell_length_b 5.4930
_cell_length_c 8.7625
_cell_angle_alpha 90.00
_cell_angle_beta 114.17
_cell_angle_gamma 90.00
loop_
_symmetry_equiv_pos_as_xyz
'x,y,z'
'-x,-y,-z'
'-x,y,-z'
'x,-y,z'
'x+1/2,y+1/2,z'
'-x+1/2,-y+1/2,-z'
'-x+1/2,y+1/2,-z'
'x+1/2,-y+1/2,z'
loop_
_atom_site_label
_atom_site_type_symbol
_atom_site_fract_x
_atom_site_fract_y
_atom_site_fract_z
Ag1 Ag 0.0000 0.0000 0.0000
Pb1 Pb 0.1881 0.0000 0.6423
Cl1 Cl 0.0069 0.0000 0.7280
Cl2 Cl 0.1361 0.5000 0.0753
Cl3 Cl 0.1874 0.5000 0.5775

=====

# AgPdPbCl6 PBE-GGA optimized geometry
# Total energy: -3.15 eV/atom
data_AgPdPbCl6
_symmetry_space_group_name_H-M 'P -3 1 c'
_symmetry_Int_Tables_number 163
_symmetry_space_group_name_Hall '-P 3 2c'
_cell_length_a 6.7892
_cell_length_b 6.7892
_cell_length_c 11.6101
_cell_angle_alpha 90.00
_cell_angle_beta 90.00
_cell_angle_gamma 120.00
loop_
_atom_site_label
_atom_site_type_symbol
_atom_site_fract_x
_atom_site_fract_y
_atom_site_fract_z
Ag1 Ag 0.0000 0.0000 0.0000
Pd1 Pd 0.3333 0.6667 0.2500
Pb1 Pb 0.3333 0.6667 0.7500
Cl1 Cl 0.0522 0.3642 0.1243

=====

# Ag2PdPbCl6 PBE-GGA optimized geometry
# Total energy: -3.19 eV/atom
data_Ag2PdPbCl6
_symmetry_space_group_name_H-M 'P 1'
_symmetry_Int_Tables_number 1
_cell_length_a 6.5736
_cell_length_b 6.9518
_cell_length_c 7.1825
_cell_angle_alpha 67.80
_cell_angle_beta 67.57
_cell_angle_gamma 89.06
loop_
_symmetry_equiv_pos_as_xyz
'x,y,z'
loop_
_atom_site_label
_atom_site_type_symbol
_atom_site_fract_x
_atom_site_fract_y
_atom_site_fract_z
Ag1 Ag 0.0000 0.0000 0.0000
Ag2 Ag 0.4743 0.5023 0.0264
Pd1 Pd 0.2730 0.8620 0.4524
Pb1 Pb 0.7614 0.3604 0.4663
Cl1 Cl 0.1033 0.1173 0.2605
Cl2 Cl 0.1897 0.6385 0.3076
Cl3 Cl 0.3412 0.0876 0.6019
Cl4 Cl 0.4455 0.6121 0.6399
Cl5 Cl 0.6969 0.2144 0.9111
Cl6 Cl 0.8332 0.6470 0.0360

=====

# Ag2PdPbCl8 PBE-GGA optimized geometry
# Total energy: -3.01 eV/atom
data_Ag2PdPbCl8
_symmetry_space_group_name_H-M 'P -1'
_symmetry_Int_Tables_number 2
_cell_length_a 6.2151
_cell_length_b 6.3321
_cell_length_c 8.0154
_cell_angle_alpha 90.22
_cell_angle_beta 90.34
_cell_angle_gamma 91.62
loop_
_symmetry_equiv_pos_as_xyz
'x,y,z'
'-x,-y,-z'
loop_
_atom_site_label
_atom_site_type_symbol
_atom_site_fract_x
_atom_site_fract_y
_atom_site_fract_z
Ag1 Ag 0.0009 0.0006 0.2655
Pd1 Pd 0.5000 0.5000 0.5000
Pb1 Pb 0.5000 0.5000 0.0000
Cl1 Cl 0.2140 0.1460 0.9989
Cl2 Cl 0.2304 0.1991 0.5006
Cl3 Cl 0.2910 0.6720 0.2943
Cl4 Cl 0.2936 0.6747 0.7050

=====

# PrAgPbCl6 PBE-GGA optimized geometry
# Total energy: -3.97 eV/atom
data_PrAgPbCl6
_symmetry_space_group_name_H-M 'P -3 1 c'
_symmetry_Int_Tables_number 163
_symmetry_space_group_name_Hall '-P 3 2c'
_cell_length_a 7.0011
_cell_length_b 7.0011
_cell_length_c 12.9835
_cell_angle_alpha 90.00
_cell_angle_beta 90.00
_cell_angle_gamma 120.00
loop_
_atom_site_label
_atom_site_type_symbol
_atom_site_fract_x
_atom_site_fract_y
_atom_site_fract_z
Pr1 Pr 0.3333 0.6667 0.2500
Ag1 Ag 0.3333 0.6667 0.7500
Pb1 Pb 0.0000 0.0000 0.0000
Cl1 Cl 0.0012 0.3440 0.1287

=====

# Ag2PtPbCl8 PBE-GGA optimized geometry
# Total energy: -3.13 eV/atom
data_Ag2PtPbCl8
_symmetry_space_group_name_H-M 'P -1'
_symmetry_Int_Tables_number 2
_cell_length_a 6.5559
_cell_length_b 6.7991
_cell_length_c 8.2973
_cell_angle_alpha 71.33
_cell_angle_beta 87.86
_cell_angle_gamma 80.42
loop_
_symmetry_equiv_pos_as_xyz
'x,y,z'
'-x,-y,-z'
loop_
_atom_site_label
_atom_site_type_symbol
_atom_site_fract_x
_atom_site_fract_y
_atom_site_fract_z
Ag1 Ag 0.0073 0.1842 0.2843
Pt1 Pt 0.5000 0.5000 0.0000
Pb1 Pb 0.5000 0.5000 0.5000
Cl1 Cl 0.1066 0.7677 0.4301
Cl2 Cl 0.1858 0.7308 0.9904
Cl3 Cl 0.3464 0.3213 0.8489
Cl4 Cl 0.4007 0.2689 0.2596

=====

# PuAgPbCl6 PBE-GGA optimized geometry
# Total energy: -4.87 eV/atom
data_PuAgPbCl6
_symmetry_space_group_name_H-M 'P 42 n m'
_symmetry_Int_Tables_number 102
_cell_length_a 6.5693
_cell_length_b 6.5693
_cell_length_c 12.8365
_cell_angle_alpha 90.00
_cell_angle_beta 90.00
_cell_angle_gamma 90.00
loop_
_symmetry_equiv_pos_as_xyz
'x,y,z'
'-y+1/2,x+1/2,z+1/2'
'-x,-y,z'
'y+1/2,-x+1/2,z+1/2'
'-x+1/2,y+1/2,z+1/2'
'y,x,z'
'x+1/2,-y+1/2,z+1/2'
'-y,-x,z'
loop_
_atom_site_label
_atom_site_type_symbol
_atom_site_fract_x
_atom_site_fract_y
_atom_site_fract_z
Pu1 Pu 0.0000 0.0000 0.0000
Ag1 Ag 0.0000 0.0000 0.3348
Pb1 Pb 0.0000 0.0000 0.6664
Cl1 Cl 0.1874 0.1874 0.1657
Cl2 Cl 0.1969 0.1969 0.8423
Cl3 Cl 0.2056 0.2056 0.4937

=====

| no. | total magnetic moment (μB/f.u.) |
| --- | --- |
| 1 | 0.000 |
| 2 | 1.556 |
| 3 | 0.000 |
| 4 | 0.000 |
| 5 | 0.000 |
| 6 | 1.330 |
| 7 | 0.000 |
| 8 | 0.000 |
| 9 | 0.000 |
| 10 | 0.000 |
| 11 | 0.000 |
| 12 | 0.000 |
| 13 | 0.000 |
| 14 | 0.000 |
| 15 | 0.000 |
| 16 | 0.000 |
| 17 | 0.000 |
| 18 | 0.821 |
| 19 | 0.000 |
| 20 | 0.000 |
| 21 | 0.000 |
| 22 | 0.000 |
| 23 | 5.000 |